VASP calculation (PBE+U) on MnTlSeF2 after structural relaxation.

Geometry as POSCAR:
```
MnTlSeF2
1.0
-3.3988 -1.1937 -2.0972
2.0854 -3.2758 -1.5151
-1.6557 -3.1152 4.4564
Tl Mn Se F
1 1 1 2
Direct
0.5000 0.5000 0.5000
0.0000 0.0000 0.0000
0.0000 0.0000 0.5000
0.0000 0.5000 0.0000
0.5000 0.0000 0.0000
```

## Properties
For the volume, the calculation gives 19.751 Å³ per atom. For the density of states at the Fermi level, the calculation gives 1.7 states/eV per cell. As for the crystal system: tetragonal. The calculation puts the uncorrected energy at -25.08 eV for the cell shown. The total magnetic moment is 4.90 μB per formula unit.